HAu3S | Alexandria via LeMat-Bulk | PBE | relaxed; distance to the lowest polymorph of the same formula = 0.0000 eV/atom; E_tot = -3.006 eV per atom; magnetic moment = 0.00 Bohr magnetons per cell
1.0
4.237 0.000 0.000
0.000 4.237 0.000
0.000 0.000 4.237
H Au S
1 3 1
Cartesian
0.000 0.000 0.000
0.000 0.000 2.118
0.000 2.118 0.000
2.118 0.000 0.000
2.118 2.118 2.118